4
Lattice="0.000 4.526 4.526 4.526 0.000 4.526 4.526 4.526 0.000" Properties=species:S:1:pos:R:3 comment="BaNa2Sr | the Alexandria database | GGA-PBEsol | optimized geometry" magmom_total_mub_per_atom=0.00 dft_energy_ev_per_cell=-6.718 crystal_system=cubic pbc="T T T"
Ba 0.000 0.000 0.000
Na 2.263 2.263 2.263
Na 6.789 6.789 6.789
Sr 4.526 4.526 4.526

5
Lattice="6.275 0.000 0.000 0.000 6.275 0.000 0.000 0.000 6.275" Properties=species:S:1:pos:R:3 comment="Ba3SrSb | the Alexandria database | GGA-PBEsol | optimized geometry" magmom_total_mub_per_atom=0.00 dft_energy_ev_per_cell=-10.061 crystal_system=cubic pbc="T T T"
Ba 0.000 0.000 3.138
Ba 0.000 3.138 0.000
Ba 3.138 0.000 0.000
Sr 0.000 0.000 0.000
Sb 3.138 3.138 3.138